## NaPuAg2I8 (PBE)

Data for a relaxed structure of NaPuAg2I8.

Calculated values
As for the density of states at the Fermi level: 24.26 states/eV/f.u. Its raw formation energy is -531 meV/atom. As for the space group: No. 119.

Cell lengths 8.7387, 8.7387, 8.7387 Å; angles 108.15, 108.15, 112.15 degrees
Closest atoms and distances in Å follow each position.
Fractional coordinates of all 12 atoms:
Na 0.0000 0.0000 0.0000  8 I 3.32-3.57
Pu 0.2500 0.7500 0.5000  8 I 3.13-3.30
Ag 0.7500 0.2500 0.5000  4 I 2.80
Ag 0.5000 0.5000 0.0000  4 I 2.81
I 0.3544 0.0319 0.3225  1 Ag 2.80
I 0.3008 0.4995 0.1986  1 Ag 2.81, 1 Pu 3.13
I 0.3008 0.1022 0.8014  1 Ag 2.81, 1 Pu 3.13
I 0.7094 0.0319 0.6775  1 Ag 2.80
I 0.8978 0.6992 0.1986  1 Ag 2.81, 1 Pu 3.13
I 0.9681 0.2906 0.3225  1 Ag 2.80
I 0.9681 0.6456 0.6775  1 Ag 2.80
I 0.5005 0.6992 0.8014  1 Ag 2.81, 1 Pu 3.13